[1]
LaTl2CdNi | PBE | optimized geometry

Lattice parameters (Å, degrees): 5.056 5.056 5.022 90.00 90.00 90.00
Sites, in units of the cell vectors:
La1 0.000 0.000 0.000
Tl1 0.000 0.500 0.500
Tl2 0.500 0.000 0.500
Cd1 0.500 0.500 0.000
Ni1 0.500 0.500 0.500

Computed properties:
Energy above the lowest structure with this stoichiometry in eV/atom: 0.045
Raw total energy in eV/atom: -3.374
Total magnetic moment in μB per atom: 0.0000
Calculated formation energy in eV per atom: -0.103
Crystal system: tetragonal


[2]
LaTlCd2Ni | PBE | optimized geometry

Lattice parameters (Å, degrees): 5.001 5.001 5.010 90.00 90.00 90.00
Sites, in units of the cell vectors:
La1 0.000 0.000 0.000
Tl1 0.500 0.500 0.000
Cd1 0.000 0.500 0.500
Cd2 0.500 0.000 0.500
Ni1 0.500 0.500 0.500

Computed properties:
Energy above the lowest structure with this stoichiometry in eV/atom: 0.064
Raw total energy in eV/atom: -3.111
Total magnetic moment in μB per atom: 0.0000
Calculated formation energy in eV per atom: -0.130
Crystal system: tetragonal


[3]
La2TlCdNi | PBE | optimized geometry

Lattice parameters (Å, degrees): 5.345 5.345 5.027 90.00 90.00 90.00
Sites, in units of the cell vectors:
La1 0.000 0.500 0.000
La2 0.500 0.000 0.000
Tl1 0.000 0.000 0.500
Cd1 0.500 0.500 0.500
Ni1 0.500 0.500 0.000

Computed properties:
Energy above the lowest structure with this stoichiometry in eV/atom: 0.000
Raw total energy in eV/atom: -4.070
Total magnetic moment in μB per atom: 0.0000
Calculated formation energy in eV per atom: -0.286
Crystal system: tetragonal


[4]
LaCdNi2W | PBE | optimized geometry

Lattice parameters (Å, degrees): 4.689 4.689 5.415 90.00 90.00 90.00
Sites, in units of the cell vectors:
La1 0.000 0.000 0.000
Cd1 0.500 0.500 0.000
Ni1 0.000 0.500 0.500
Ni2 0.500 0.000 0.500
W1 0.000 0.000 0.500

Computed properties:
Raw total energy in eV/atom: -5.138
Total magnetic moment in μB per atom: 0.0000
Calculated formation energy in eV per atom: 0.934
Crystal system: tetragonal


[5]
La2YCdNi | PBE | optimized geometry

Lattice parameters (Å, degrees): 5.318 5.318 5.497 90.00 90.00 90.00
Sites, in units of the cell vectors:
La1 0.000 0.500 0.000
La2 0.500 0.000 0.000
Y1 0.000 0.000 0.500
Cd1 0.500 0.500 0.500
Ni1 0.000 0.000 0.000

Computed properties:
Raw total energy in eV/atom: -4.735
Total magnetic moment in μB per atom: 0.0000
Calculated formation energy in eV per atom: -0.132
Crystal system: tetragonal


[6]
LaZnCdNi | PBE | optimized geometry

Lattice parameters (Å, degrees): 4.884 4.884 4.884 60.00 60.00 60.00
Sites, in units of the cell vectors:
La1 0.000 0.000 0.000
Zn1 0.250 0.250 0.250
Cd1 0.500 0.500 0.500
Ni1 0.750 0.750 0.750

Computed properties:
Raw total energy in eV/atom: -3.421
Total magnetic moment in μB per atom: 0.0000
Calculated formation energy in eV per atom: -0.196
Crystal system: cubic


[7]
La2Zn2CdNi5 | PBE | optimized geometry

Lattice parameters (Å, degrees): 9.665 9.665 3.665 90.00 90.00 90.00
Sites, in units of the cell vectors:
La1 0.183 0.317 0.000
La2 0.317 0.817 0.000
La3 0.683 0.183 0.000
La4 0.817 0.683 0.000
Zn1 0.112 0.612 0.000
Zn2 0.388 0.112 0.000
Zn3 0.612 0.888 0.000
Zn4 0.888 0.388 0.000
Cd1 0.000 0.000 0.000
Cd2 0.500 0.500 0.000
Ni1 0.000 0.500 0.500
Ni2 0.062 0.781 0.500
Ni3 0.219 0.062 0.500
Ni4 0.281 0.562 0.500
Ni5 0.438 0.281 0.500
Ni6 0.500 0.000 0.500
Ni7 0.562 0.719 0.500
Ni8 0.719 0.438 0.500
Ni9 0.781 0.938 0.500
Ni10 0.938 0.219 0.500

Computed properties:
Raw total energy in eV/atom: -4.382
Total magnetic moment in μB per atom: 0.0000
Calculated formation energy in eV per atom: -0.159
Crystal system: tetragonal


[8]
La2Zn3CdNi12 | PBE | optimized geometry

Lattice parameters (Å, degrees): 9.291 9.291 9.291 39.56 39.56 39.56
Sites, in units of the cell vectors:
La1 0.137 0.137 0.137
La2 0.863 0.863 0.863
Zn1 0.000 0.500 0.500
Zn2 0.500 0.000 0.500
Zn3 0.500 0.500 0.000
Cd1 0.500 0.500 0.500
Ni1 0.025 0.635 0.635
Ni2 0.083 0.083 0.705
Ni3 0.083 0.705 0.083
Ni4 0.295 0.917 0.917
Ni5 0.365 0.365 0.975
Ni6 0.365 0.975 0.365
Ni7 0.635 0.025 0.635
Ni8 0.635 0.635 0.025
Ni9 0.705 0.083 0.083
Ni10 0.917 0.295 0.917
Ni11 0.917 0.917 0.295
Ni12 0.975 0.365 0.365

Computed properties:
Raw total energy in eV/atom: -4.567
Total magnetic moment in μB per atom: 0.0000
Calculated formation energy in eV per atom: 0.098
Crystal system: trigonal